VASP calculation (PBE) on a geometry-optimized CoHg2Pb structure.

The calculation puts the calculated total energy at -2.341 eV/atom. Its magnetization is 1.5 μB per formula unit. Its energy of formation from the pure elements is 49.5 kJ/mol of atoms.

The structure belongs to space group I-4m2 (No. 119); the cell edges are 4.414, 4.414 and 8.920 Å and the angles 90.00°, 90.00° and 90.00°. Symmetry generates all atoms from Co at (0.000, 0.000, 0.000), Hg at (0.000, 0.000, 0.500), Hg at (0.000, 0.500, 0.750) and Pb at (0.000, 0.500, 0.250).